Entry 1:
Er10Mn13C18: relaxed, PBE.

Summary:
The space group is I-43m, No. 217. The calculation puts the magnetization at 5.3 μB/cell.

Cell and atoms, written as POSCAR:
```
Er10Mn13C18
1.0
8.6728 0.0000 0.0000
-2.8909 8.1768 0.0000
-2.8909 -4.0884 7.0813
Er Mn C
10 13 18
Direct
0.5000 0.7500 0.2500
0.7500 0.5000 0.2500
0.2500 0.7500 0.5000
0.2500 0.5000 0.7500
0.5000 0.2500 0.7500
0.7500 0.2500 0.5000
0.4109 0.0000 0.0000
0.0000 0.4109 0.0000
0.0000 0.0000 0.4109
0.5891 0.5891 0.5891
0.0000 0.0000 0.0000
0.6664 0.8199 0.0000
0.8465 0.1801 0.1801
0.6664 0.0000 0.8199
0.8199 0.6664 0.0000
0.0000 0.6664 0.8199
0.1801 0.8465 0.1801
0.1801 0.1801 0.8465
0.0000 0.8199 0.6664
0.8199 0.0000 0.6664
0.3336 0.3336 0.1535
0.1535 0.3336 0.3336
0.3336 0.1535 0.3336
0.7046 0.2214 0.0000
0.4832 0.7786 0.7786
0.7046 0.0000 0.2214
0.2214 0.7046 0.0000
0.0000 0.7046 0.2214
0.7786 0.4832 0.7786
0.7786 0.7786 0.4832
0.0000 0.2214 0.7046
0.2214 0.0000 0.7046
0.2954 0.2954 0.5168
0.5168 0.2954 0.2954
0.2954 0.5168 0.2954
0.5690 0.5690 0.0000
0.0000 0.4310 0.4310
0.5690 0.0000 0.5690
0.0000 0.5690 0.5690
0.4310 0.0000 0.4310
0.4310 0.4310 0.0000
```

***

Entry 2:
ErMn2C2: relaxed, PBE.

Summary:
The space group is Fddd, No. 70. The calculation puts the magnetization at 0.7 μB/cell.

Cell and atoms, written as POSCAR:
```
ErMn2C2
1.0
-1.6287 -2.8701 4.0017
2.5793 -3.2098 -3.1541
3.2811 3.9277 1.7430
Er Mn C
2 4 4
Direct
0.8750 0.6250 0.7500
0.1250 0.3750 0.2500
0.2387 0.9886 0.4775
0.4886 0.7387 0.9775
0.7613 0.0114 0.5225
0.5114 0.2613 0.0225
0.1817 0.3183 0.7500
0.4316 0.0684 0.2500
0.5684 0.9316 0.7500
0.8183 0.6817 0.2500
```

***

Entry 3:
ErMn12C6: relaxed, PBE.

Summary:
The space group is R-3m, No. 166. The calculation puts the magnetization at 9.7 μB/cell.

Cell and atoms, written as POSCAR:
```
ErMn12C6
1.0
-1.4606 3.2798 4.6967
3.4155 -4.2331 2.3162
3.8591 3.4206 -2.8907
Er Mn C
1 12 6
Direct
0.0000 0.0000 0.0000
0.8668 0.1332 0.5000
0.8110 0.5403 0.5403
0.5403 0.5403 0.8110
0.4597 0.1890 0.4597
0.4597 0.4597 0.1890
0.1890 0.4597 0.4597
0.1332 0.5000 0.8668
0.5000 0.8668 0.1332
0.1332 0.8668 0.5000
0.8668 0.5000 0.1332
0.5000 0.1332 0.8668
0.5403 0.8110 0.5403
0.6722 0.2282 0.2282
0.2282 0.2282 0.6722
0.2282 0.6722 0.2282
0.7718 0.7718 0.3278
0.3278 0.7718 0.7718
0.7718 0.3278 0.7718
```

***

| no. | D(E_F) (states/eV/atom) | energy of formation from the pure elements (eV/atom) |
| --- | --- | --- |
| 1 | 0.332 | -0.33 |
| 2 | 0.813 | -0.30 |
| 3 | 1.032 | -0.06 |